# 1
Below is a relaxed structure of MnRe3B2, with properties calculated at the GGA-PBEsol level.

Properties
Space-group type: F222 (22)
Energy relative to the elements in eV per atom: -0.26

Unit cell a=4.4456 b=4.4582 c=7.9303 alpha=81.97 beta=73.72 gamma=60.09
Closest atoms and distances in Å follow each position.
Positions (direct):
Mn1 0.4173 0.0000 0.1654  4 B 2.30-2.31, 1 Mn 2.52, 2 Re 2.55
Mn2 0.5827 0.0000 0.8346  4 B 2.30-2.31, 1 Mn 2.52, 2 Re 2.55
Re1 0.3354 0.5000 0.3291  4 B 2.31-2.32, 2 Mn 2.55
Re2 0.1646 0.5000 0.6709  4 B 2.31-2.32, 2 Mn 2.55
Re3 0.8314 0.3371 0.0000  4 B 2.27
Re4 0.1686 0.6629 0.0000  4 B 2.27
Re5 0.9191 0.1617 0.5000  4 B 2.33, 2 Re 2.55
Re6 0.5809 0.8383 0.5000  4 B 2.33, 2 Re 2.55
B1 0.1223 0.0000 0.7554  2 B 2.23, 6 Re 2.27-2.33, 2 Mn 2.30
B2 0.8777 0.0000 0.2446  2 B 2.23, 6 Re 2.27-2.33, 2 Mn 2.30
B3 0.6231 0.5000 0.7539  2 B 2.23, 6 Re 2.27-2.33, 2 Mn 2.31
B4 0.8769 0.5000 0.2461  2 B 2.23, 6 Re 2.27-2.33, 2 Mn 2.31

=====

# 2
Below is a relaxed structure of MnB3Sb, with properties calculated at the GGA-PBEsol level.

Properties
Space-group type: Pm-3m (221)
Formation energy from raw total energies in eV per atom: 1.085

Unit cell a=3.9135 b=3.9135 c=3.9135 alpha=90.00 beta=90.00 gamma=90.00
Closest atoms and distances in Å follow each position.
Positions (direct):
Sb1 0.5000 0.5000 0.5000  12 B 2.77
B1 0.0000 0.5000 0.0000  2 Mn 1.96
B2 0.0000 0.0000 0.5000  2 Mn 1.96
B3 0.5000 0.0000 0.0000  2 Mn 1.96
Mn1 0.0000 0.0000 0.0000  6 B 1.96

=====

> What is the formula in the second record?

MnB3Sb

=====

Please write out number 1 again, unchanged.
Below is a relaxed structure of MnRe3B2, with properties calculated at the GGA-PBEsol level.

Properties
Space-group type: F222 (22)
Energy relative to the elements in eV per atom: -0.26

Unit cell a=4.4456 b=4.4582 c=7.9303 alpha=81.97 beta=73.72 gamma=60.09
Closest atoms and distances in Å follow each position.
Positions (direct):
Mn1 0.4173 0.0000 0.1654  4 B 2.30-2.31, 1 Mn 2.52, 2 Re 2.55
Mn2 0.5827 0.0000 0.8346  4 B 2.30-2.31, 1 Mn 2.52, 2 Re 2.55
Re1 0.3354 0.5000 0.3291  4 B 2.31-2.32, 2 Mn 2.55
Re2 0.1646 0.5000 0.6709  4 B 2.31-2.32, 2 Mn 2.55
Re3 0.8314 0.3371 0.0000  4 B 2.27
Re4 0.1686 0.6629 0.0000  4 B 2.27
Re5 0.9191 0.1617 0.5000  4 B 2.33, 2 Re 2.55
Re6 0.5809 0.8383 0.5000  4 B 2.33, 2 Re 2.55
B1 0.1223 0.0000 0.7554  2 B 2.23, 6 Re 2.27-2.33, 2 Mn 2.30
B2 0.8777 0.0000 0.2446  2 B 2.23, 6 Re 2.27-2.33, 2 Mn 2.30
B3 0.6231 0.5000 0.7539  2 B 2.23, 6 Re 2.27-2.33, 2 Mn 2.31
B4 0.8769 0.5000 0.2461  2 B 2.23, 6 Re 2.27-2.33, 2 Mn 2.31